No. 1
# GGA-PBEsol Zr2InAu, optimized geometry
data_Zr2InAu
_cell_length_a 4.284
_cell_length_b 4.284
_cell_length_c 4.317
_cell_angle_alpha 90.00
_cell_angle_beta 90.00
_cell_angle_gamma 90.00
_space_group_name_H-M_alt 'P 1'
_space_group_IT_number 1
_space_group_name_Hall 'P 1'
loop_
_atom_site_label
_atom_site_type_symbol
_atom_site_fract_x
_atom_site_fract_y
_atom_site_fract_z
_atom_site_occupancy
Zr1 Zr 0.000 0.500 0.000 1
Zr2 Zr 0.500 0.000 0.000 1
In1 In 0.000 0.000 0.500 1
Au1 Au 0.500 0.500 0.500 1
# Fermi-level density of states   0.84 states/eV per atom
# Formation energy from the elements   -0.459 eV/atom
# Uncorrected energy   -6.731 eV/atom
# Symmetry   P4/mmm

=====

No. 2
# GGA-PBEsol Zr2InAu2, optimized geometry
data_Zr2InAu2
_cell_length_a 7.502
_cell_length_b 7.502
_cell_length_c 7.016
_cell_angle_alpha 90.00
_cell_angle_beta 90.00
_cell_angle_gamma 90.00
_space_group_name_H-M_alt 'P 1'
_space_group_IT_number 1
_space_group_name_Hall 'P 1'
loop_
_atom_site_label
_atom_site_type_symbol
_atom_site_fract_x
_atom_site_fract_y
_atom_site_fract_z
_atom_site_occupancy
Zr1 Zr 0.146 0.146 0.000 1
Zr2 Zr 0.197 0.197 0.500 1
Zr3 Zr 0.303 0.697 0.000 1
Zr4 Zr 0.354 0.646 0.500 1
Zr5 Zr 0.646 0.354 0.500 1
Zr6 Zr 0.697 0.303 0.000 1
Zr7 Zr 0.803 0.803 0.500 1
Zr8 Zr 0.854 0.854 0.000 1
In1 In 0.000 0.500 0.250 1
In2 In 0.000 0.500 0.750 1
In3 In 0.500 0.000 0.250 1
In4 In 0.500 0.000 0.750 1
Au1 Au 0.129 0.871 0.297 1
Au2 Au 0.129 0.871 0.703 1
Au3 Au 0.371 0.371 0.203 1
Au4 Au 0.371 0.371 0.797 1
Au5 Au 0.629 0.629 0.203 1
Au6 Au 0.629 0.629 0.797 1
Au7 Au 0.871 0.129 0.297 1
Au8 Au 0.871 0.129 0.703 1
# Fermi-level density of states   0.47 states/eV per atom
# Formation energy from the elements   -0.594 eV/atom
# Relative energy among the computed polymorphs   0.000 eV/atom
# Uncorrected energy   -6.396 eV/atom
# Symmetry   P4_2/mnm

=====

No. 3
# GGA-PBEsol ZrInAu, optimized geometry
data_ZrInAu
_cell_length_a 6.225
_cell_length_b 6.225
_cell_length_c 6.225
_cell_angle_alpha 150.27
_cell_angle_beta 150.27
_cell_angle_gamma 42.54
_space_group_name_H-M_alt 'P 1'
_space_group_IT_number 1
_space_group_name_Hall 'P 1'
loop_
_atom_site_label
_atom_site_type_symbol
_atom_site_fract_x
_atom_site_fract_y
_atom_site_fract_z
_atom_site_occupancy
Zr1 Zr 0.000 0.000 0.000 1
In1 In 0.681 0.681 0.000 1
Au1 Au 0.342 0.342 0.000 1
# Fermi-level density of states   0.67 states/eV per atom
# Formation energy from the elements   -0.427 eV/atom
# Uncorrected energy   -5.759 eV/atom
# Symmetry   I4mm

=====

No. 4
# GGA-PBEsol ZrInAu2, optimized geometry
data_ZrInAu2
_cell_length_a 4.814
_cell_length_b 4.814
_cell_length_c 5.591
_cell_angle_alpha 99.28
_cell_angle_beta 99.28
_cell_angle_gamma 37.88
_space_group_name_H-M_alt 'P 1'
_space_group_IT_number 1
_space_group_name_Hall 'P 1'
loop_
_atom_site_label
_atom_site_type_symbol
_atom_site_fract_x
_atom_site_fract_y
_atom_site_fract_z
_atom_site_occupancy
Zr1 Zr 0.000 0.000 0.000 1
In1 In 0.500 0.500 0.500 1
Au1 Au 0.254 0.254 0.762 1
Au2 Au 0.746 0.746 0.238 1
# Fermi-level density of states   0.53 states/eV per atom
# Formation energy from the elements   -0.325 eV/atom
# Uncorrected energy   -5.305 eV/atom
# Symmetry   C2/m